Material: GaFe
Method: DFT, GGA-PBE
State: relaxed

Space-group type   No. 19
DFT formation energy   -69 meV/atom

Lattice parameters (Å, degrees): 4.7645 4.8612 9.1285 90.00 90.00 90.00
Fractional positions:
Ga1 0.1421 0.0444 0.2009
Ga2 0.1460 0.6628 0.9553
Ga3 0.3540 0.3372 0.4553
Ga4 0.3579 0.9556 0.7009
Ga5 0.6421 0.4556 0.7991
Ga6 0.6460 0.8372 0.0447
Ga7 0.8540 0.1628 0.5447
Ga8 0.8579 0.5444 0.2991
Fe1 0.1340 0.4802 0.6948
Fe2 0.2069 0.8185 0.4407
Fe3 0.2931 0.1815 0.9407
Fe4 0.3660 0.5198 0.1948
Fe5 0.6340 0.0198 0.3052
Fe6 0.7069 0.6815 0.5593
Fe7 0.7931 0.3185 0.0593
Fe8 0.8660 0.9802 0.8052

Material: GaFe
Method: DFT, GGA-PBE
State: relaxed

Space-group type   No. 136
DFT formation energy   277 meV/atom

Lattice parameters (Å, degrees): 4.8895 4.8895 4.8869 90.00 90.00 90.00
Fractional positions:
Ga1 0.1920 0.1920 0.0000
Ga2 0.3080 0.6920 0.5000
Ga3 0.6920 0.3080 0.5000
Ga4 0.8080 0.8080 0.0000
Fe1 0.1836 0.1836 0.5000
Fe2 0.3164 0.6836 0.0000
Fe3 0.6836 0.3164 0.0000
Fe4 0.8164 0.8164 0.5000

Material: Ga6Fe
Method: DFT, GGA-PBE
State: relaxed

Space-group type   No. 63
DFT formation energy   -25 meV/atom

Lattice parameters (Å, degrees): 5.0547 5.0547 9.0002 90.00 90.00 80.07
Fractional positions:
Ga1 0.0455 0.5901 0.2500
Ga2 0.1261 0.8739 0.6035
Ga3 0.1261 0.8739 0.8965
Ga4 0.3269 0.3269 0.0000
Ga5 0.3269 0.3269 0.5000
Ga6 0.4099 0.9545 0.2500
Ga7 0.5901 0.0455 0.7500
Ga8 0.6731 0.6731 0.0000
Ga9 0.6731 0.6731 0.5000
Ga10 0.8739 0.1261 0.1035
Ga11 0.8739 0.1261 0.3965
Ga12 0.9545 0.4099 0.7500
Fe1 0.4439 0.5561 0.7500
Fe2 0.5561 0.4439 0.2500

What is the DFT formation energy in the third record? -25 meV/atom

The highest DFT formation energy belongs to which entry? number 2

The lowest DFT formation energy belongs to which entry? number 1